Below is a geometry-optimized FePbN2O structure, with properties calculated at the PBE with a Hubbard U level.

Cell lengths 4.3084, 4.3084, 4.2536 Å; angles 90.00, 90.00, 90.00 degrees
Sites, in units of the cell vectors:
Fe (0.0000, 0.0000, 0.0000)
Pb (0.5000, 0.5000, 0.5000)
N (0.0000, 0.5000, 0.5000)
N (0.5000, 0.0000, 0.5000)
O (0.5000, 0.5000, 0.0000)

Output
As for the symmetry: P4/mmm. The value obtained for the total DFT energy (no corrections) is -0.1697 Ha/atom.